The following is a GGA-PBE calculation of a relaxed Tl8SbAs2 crystal, from Alexandria.

POSCAR file:
```
Tl8SbAs2
1.0
6.4792 -4.6667 0.0000
6.4792 4.6667 0.0000
-2.1109 0.0000 6.3303
Tl Sb As
8 1 2
Direct
0.0909 0.6859 0.2382
0.1114 0.1114 0.2490
0.3141 0.9091 0.7618
0.3165 0.3165 0.6929
0.6835 0.6835 0.3071
0.6859 0.0909 0.2382
0.8886 0.8886 0.7510
0.9091 0.3141 0.7618
0.5000 0.5000 0.5000
0.3079 0.3079 0.1229
0.6921 0.6921 0.8771
```

Summary:
ΔE_f (raw) (eV/f.u.): 1.15
E_tot (eV/atom): -2.837

---

The following is a GGA-PBE calculation of a relaxed La4InSiN crystal, from Alexandria.

POSCAR file:
```
La4InSiN
1.0
3.4663 -8.4466 0.0000
3.4663 8.4466 0.0000
0.0000 0.0000 6.9669
La In Si N
8 2 2 2
Direct
0.0000 0.5000 0.0000
0.0000 0.5000 0.5000
0.0634 0.9366 0.7500
0.4154 0.5846 0.7500
0.5000 0.0000 0.0000
0.5000 0.0000 0.5000
0.5846 0.4154 0.2500
0.9366 0.0634 0.2500
0.3898 0.6102 0.2500
0.6102 0.3898 0.7500
0.1163 0.8837 0.2500
0.8837 0.1163 0.7500
0.2729 0.7271 0.7500
0.7271 0.2729 0.2500
```

Summary:
ΔE_f (raw) (eV/f.u.): -4.98
E_tot (eV/atom): -5.882

---

The following is a GGA-PBE calculation of a relaxed CdFe2W crystal, from Alexandria.

POSCAR file:
```
CdFe2W
1.0
2.8708 0.0000 0.0000
0.0000 2.8708 0.0000
0.0000 0.0000 7.1842
Cd Fe W
1 2 1
Direct
0.0000 0.0000 0.0000
0.0000 0.0000 0.4633
0.5000 0.5000 0.2760
0.5000 0.5000 0.6859
```

Summary:
E_tot (eV/atom): -7.369
E_form (eV/atom): 0.33

---

The following is a GGA-PBE calculation of a relaxed SrLiW2 crystal, from Alexandria.

POSCAR file:
```
SrLiW2
1.0
3.4142 0.0000 0.0000
0.0000 5.5464 0.0000
0.0000 0.0000 9.7800
Sr Li W
2 2 4
Direct
0.0000 0.0000 0.0000
0.5000 0.5000 0.5000
0.0000 0.5000 0.2206
0.5000 0.0000 0.7206
0.0000 0.0000 0.4680
0.0000 0.5000 0.7929
0.5000 0.0000 0.2929
0.5000 0.5000 0.9680
```

Summary:
E_tot (eV/atom): -6.374
E_form (eV/atom): 1.00

---

What did the first record say?
The following is a GGA-PBE calculation of a relaxed Tl8SbAs2 crystal, from Alexandria.

POSCAR file:
```
Tl8SbAs2
1.0
6.4792 -4.6667 0.0000
6.4792 4.6667 0.0000
-2.1109 0.0000 6.3303
Tl Sb As
8 1 2
Direct
0.0909 0.6859 0.2382
0.1114 0.1114 0.2490
0.3141 0.9091 0.7618
0.3165 0.3165 0.6929
0.6835 0.6835 0.3071
0.6859 0.0909 0.2382
0.8886 0.8886 0.7510
0.9091 0.3141 0.7618
0.5000 0.5000 0.5000
0.3079 0.3079 0.1229
0.6921 0.6921 0.8771
```

Summary:
ΔE_f (raw) (eV/f.u.): 1.15
E_tot (eV/atom): -2.837